VASP calculation (PBE-GGA) on a relaxed SrHg2As crystal.

Results
- formation enthalpy at 0 K (eV/atom) = -0.29
- calculated total energy (eV per cell) = -8.1

a b c (Å): 4.062 4.062 6.519
angles (deg): 90.00 90.00 90.00
Space group P4/mmm (No. 123)
Symmetry-distinct sites (fractional):
Sr: 0.000 0.000 0.000
Hg: 0.500 0.500 0.275
As: 0.000 0.000 0.500